Density functional theory data (GGA-PBE) for a geometry-optimized SrPm2GeN4 structure.

Structure (POSCAR):
```
SrPm2GeN4
1.0
-1.432 -3.201 -0.173
1.173 1.066 6.182
-11.024 4.866 1.253
Pm N Sr Ge
4 8 2 2
Cartesian
-10.250 4.278 5.708 Pm
-5.611 2.231 5.181 Pm
-5.672 0.500 2.081 Pm
-1.034 -1.547 1.554 Pm
0.000 0.000 0.000 N
-7.382 1.184 3.580 N
-10.154 2.408 3.895 N
-1.130 0.323 3.367 N
-3.901 1.547 3.682 N
-3.393 -0.477 1.285 N
-7.891 3.208 5.976 N
-5.512 2.433 0.626 N
-8.183 3.549 2.079 Sr
-3.101 -0.818 5.182 Sr
-8.691 1.706 4.763 Ge
-2.592 1.025 2.499 Ge
```

Values from the calculation:
energy relative to the elements, uncorrected	-89	kJ/mol of atoms
VASP energy	-7.06	eV/atom